[1]
VASP calculation (PBE) on a geometry-optimized Y2Fe2B2C structure.

## Properties
Symmetry: C2/m
Formation energy, eV per formula unit: -3.1

a = 5.405 Å, b = 5.405 Å, c = 6.419 Å
α = 124.22°, β = 124.22°, γ = 38.70°
Sites, in units of the cell vectors:
Y  0.063  0.063  0.315
Y  0.937  0.937  0.685
Fe  0.297  0.297  0.908
Fe  0.703  0.703  0.092
B  0.306  0.306  0.235
B  0.694  0.694  0.765
C  0.500  0.500  0.000



[2]
VASP calculation (PBE) on a geometry-optimized ZnFeB2C structure.

## Properties
Symmetry: P4/mmm
Formation energy, eV per formula unit: 13.3

a = 3.587 Å, b = 3.587 Å, c = 4.900 Å
α = 90.00°, β = 90.00°, γ = 90.00°
Sites, in units of the cell vectors:
Zn  0.000  0.000  0.000
Fe  0.000  0.000  0.500
B  0.000  0.500  0.000
B  0.500  0.000  0.000
C  0.500  0.500  0.500



[3]
VASP calculation (PBE) on a geometry-optimized GaBC3 structure.

## Properties
Symmetry: Pm-3m
Formation energy, eV per formula unit: 18.0

a = 3.973 Å, b = 3.973 Å, c = 3.973 Å
α = 90.00°, β = 90.00°, γ = 90.00°
Sites, in units of the cell vectors:
Ga  0.000  0.000  0.000
B  0.500  0.500  0.500
C  0.000  0.000  0.500
C  0.000  0.500  0.000
C  0.500  0.000  0.000



[4]
VASP calculation (PBE) on a geometry-optimized GaB3C structure.

## Properties
Symmetry: Pm-3m
Formation energy, eV per formula unit: 15.5

a = 4.074 Å, b = 4.074 Å, c = 4.074 Å
α = 90.00°, β = 90.00°, γ = 90.00°
Sites, in units of the cell vectors:
Ga  0.000  0.000  0.000
B  0.000  0.000  0.500
B  0.000  0.500  0.000
B  0.500  0.000  0.000
C  0.500  0.500  0.500